[1]
A relaxed structure of KPH3, computed with PBEsol.

Properties
Uncorrected energy   -3.290 eV per atom
Magnetic moment   0.00 μB/f.u.

a b c (Å): 3.756 3.756 3.756
angles (deg): 90.00 90.00 90.00
Space group Pm-3m (No. 221)
Inequivalent atoms, fractional coordinates:
1 K 0.000 0.000 0.000 (multiplicity 1)
2 P 0.500 0.500 0.500 (multiplicity 1)
3 H 0.000 0.500 0.500 (multiplicity 3)



[2]
A relaxed structure of Ta2CoRu, computed with PBEsol.

Properties
Uncorrected energy   -10.946 eV per atom
Calculated formation energy   -0.19 eV per atom
Magnetic moment   0.37 μB/f.u.

a b c (Å): 2.992 3.382 5.775
angles (deg): 90.00 90.00 90.00
Space group Pmmm (No. 47)
Inequivalent atoms, fractional coordinates:
1 Ta 0.000 0.000 0.243 (multiplicity 2)
2 Co 0.500 0.500 0.000 (multiplicity 1)
3 Ru 0.500 0.500 0.500 (multiplicity 1)